! GGA-PBE LaScCr2, relaxed; values from VASP
! Excess energy over the best structure of this formula in the dataset in eV per atom: 0.088
! Calculated total energy in eV for the cell shown: -114.737
! Density of states at the Fermi level in states/eV/cell: 12.77
! Magnetization in μB per formula unit: 0.2
! DFT formation energy in meV per atom: 455
&SYSTEM
  ibrav = 0, nat = 16, ntyp = 3
/
ATOMIC_SPECIES
La 138.91 La.upf
Sc 44.96 Sc.upf
Cr 52.00 Cr.upf
ATOMIC_POSITIONS angstrom
La 0.000 0.000 0.000
La 0.000 3.497 3.497
La 3.497 0.000 3.497
La 3.497 3.497 0.000
Sc 1.749 1.749 5.246
Sc 1.749 5.246 1.749
Sc 5.246 1.749 1.749
Sc 5.246 5.246 5.246
Cr 0.000 0.000 3.497
Cr 0.000 3.497 0.000
Cr 1.749 1.749 1.749
Cr 1.749 5.246 5.246
Cr 3.497 0.000 0.000
Cr 3.497 3.497 3.497
Cr 5.246 1.749 5.246
Cr 5.246 5.246 1.749
CELL_PARAMETERS angstrom
6.995 0.000 0.000
0.000 6.995 0.000
0.000 0.000 6.995

! GGA-PBE Cs2Sb2Te, relaxed; values from VASP
! Calculated total energy in eV for the cell shown: -29.710
! Density of states at the Fermi level in states/eV/cell: 6.94
! Magnetization in μB per formula unit: 0.0
! E_form (uncorrected) in eV/atom: -0.352
&SYSTEM
  ibrav = 0, nat = 10, ntyp = 3
/
ATOMIC_SPECIES
Cs 132.91 Cs.upf
Sb 121.76 Sb.upf
Te 127.60 Te.upf
ATOMIC_POSITIONS angstrom
Cs 1.464 2.656 0.000
Cs 2.656 6.775 0.000
Cs 5.583 1.464 0.000
Cs 6.775 5.583 0.000
Sb 1.031 5.151 3.075
Sb 3.088 1.031 3.075
Sb 5.151 7.207 3.075
Sb 7.207 3.088 3.075
Te 0.000 0.000 3.075
Te 4.119 4.119 3.075
CELL_PARAMETERS angstrom
8.238 0.000 0.000
0.000 8.238 0.000
0.000 0.000 6.150

! GGA-PBE K2TcAg, relaxed; values from VASP
! Excess energy over the best structure of this formula in the dataset in eV per atom: 0.270
! Calculated total energy in eV for the cell shown: -43.879
! Density of states at the Fermi level in states/eV/cell: 18.16
! Magnetization in μB per formula unit: 3.5
! DFT formation energy in meV per atom: 1111
&SYSTEM
  ibrav = 0, nat = 16, ntyp = 3
/
ATOMIC_SPECIES
K 39.10 K.upf
Tc 98.00 Tc.upf
Ag 107.87 Ag.upf
ATOMIC_POSITIONS angstrom
K 0.000 0.000 0.000
K 0.000 3.854 3.854
K 1.927 1.927 1.927
K 1.927 5.781 5.781
K 3.854 0.000 3.854
K 3.854 3.854 0.000
K 5.781 1.927 5.781
K 5.781 5.781 1.927
Tc 1.927 1.927 5.781
Tc 1.927 5.781 1.927
Tc 5.781 1.927 1.927
Tc 5.781 5.781 5.781
Ag 0.000 0.000 3.854
Ag 0.000 3.854 0.000
Ag 3.854 0.000 0.000
Ag 3.854 3.854 3.854
CELL_PARAMETERS angstrom
7.708 0.000 0.000
0.000 7.708 0.000
0.000 0.000 7.708

! GGA-PBE Ce2Zn2Co4C, relaxed; values from VASP
! Calculated total energy in eV for the cell shown: -50.627
! Density of states at the Fermi level in states/eV/cell: 10.76
! Magnetization in μB per formula unit: 1.1
! DFT formation energy in meV per atom: 160
&SYSTEM
  ibrav = 0, nat = 9, ntyp = 4
/
ATOMIC_SPECIES
Ce 140.12 Ce.upf
Zn 65.41 Zn.upf
Co 58.93 Co.upf
C 12.01 C.upf
ATOMIC_POSITIONS angstrom
Ce 0.000 0.000 1.595
Ce 0.000 0.000 6.276
Zn 2.924 0.000 1.968
Zn 0.000 2.924 1.968
Co 1.553 1.553 0.000
Co 1.370 -1.370 3.935
Co -1.370 1.370 3.935
Co 1.370 1.370 3.935
C 0.000 0.000 3.935
CELL_PARAMETERS angstrom
-2.924 2.924 3.935
2.924 -2.924 3.935
2.924 2.924 -3.935

! GGA-PBE MgAgTe, relaxed; values from VASP
! Excess energy over the best structure of this formula in the dataset in eV per atom: 0.015
! Calculated total energy in eV for the cell shown: -8.159
! Density of states at the Fermi level in states/eV/cell: 0.78
! Magnetization in μB per formula unit: 0.0
! E_form (uncorrected) in eV/atom: -0.190
&SYSTEM
  ibrav = 0, nat = 3, ntyp = 3
/
ATOMIC_SPECIES
Mg 24.30 Mg.upf
Ag 107.87 Ag.upf
Te 127.60 Te.upf
ATOMIC_POSITIONS angstrom
Mg 0.000 0.000 0.000
Ag 2.195 1.268 3.040
Te 0.000 2.535 1.579
CELL_PARAMETERS angstrom
4.391 0.000 0.000
-2.195 3.803 0.000
0.000 0.000 4.421

! GGA-PBE LaTbBeCu, relaxed; values from VASP
! Calculated total energy in eV for the cell shown: -69.197
! Density of states at the Fermi level in states/eV/cell: 10.74
! Magnetization in μB per formula unit: 0.0
! DFT formation energy in meV per atom: 20
&SYSTEM
  ibrav = 0, nat = 16, ntyp = 4
/
ATOMIC_SPECIES
La 138.91 La.upf
Tb 158.93 Tb.upf
Be 9.01 Be.upf
Cu 63.55 Cu.upf
ATOMIC_POSITIONS angstrom
La 0.000 0.000 0.000
La 0.000 3.556 3.556
La 3.556 0.000 3.556
La 3.556 3.556 0.000
Tb 0.000 0.000 3.556
Tb 0.000 3.556 0.000
Tb 3.556 0.000 0.000
Tb 3.556 3.556 3.556
Be 1.778 1.778 1.778
Be 1.778 5.335 5.335
Be 5.335 1.778 5.335
Be 5.335 5.335 1.778
Cu 1.778 1.778 5.335
Cu 1.778 5.335 1.778
Cu 5.335 1.778 1.778
Cu 5.335 5.335 5.335
CELL_PARAMETERS angstrom
7.113 0.000 0.000
0.000 7.113 0.000
0.000 0.000 7.113

! GGA-PBE CsGa2Ge6, relaxed; values from VASP
! Calculated total energy in eV for the cell shown: -67.529
! Density of states at the Fermi level in states/eV/cell: 6.26
! Magnetization in μB per formula unit: 0.0
! DFT formation energy in meV per atom: 94
&SYSTEM
  ibrav = 0, nat = 18, ntyp = 3
/
ATOMIC_SPECIES
Cs 132.91 Cs.upf
Ga 69.72 Ga.upf
Ge 72.64 Ge.upf
ATOMIC_POSITIONS angstrom
Cs 0.000 0.000 0.000
Cs 1.348 4.647 4.400
Ga 2.900 7.975 11.415
Ga 2.490 10.612 11.415
Ga 3.838 12.622 15.816
Ga 4.248 15.259 15.816
Ge 2.823 7.998 3.564
Ge 3.942 5.937 9.665
Ge 2.568 10.589 3.564
Ge 2.536 7.973 6.181
Ge 2.855 10.614 6.181
Ge 3.915 12.645 7.964
Ge 1.475 5.942 7.964
Ge 4.202 12.620 10.581
Ge 3.883 15.260 10.581
Ge 2.594 8.003 14.065
Ge 2.796 10.584 14.065
Ge 1.449 12.650 9.665
CELL_PARAMETERS angstrom
0.000 9.293 8.801
2.695 0.000 8.801
2.695 9.293 0.000

! GGA-PBE K2AgBiSb, relaxed; values from VASP
! Calculated total energy in eV for the cell shown: -11.655
! Density of states at the Fermi level in states/eV/cell: 2.97
! Magnetization in μB per formula unit: 3.0
! E_form (uncorrected) in eV/atom: 0.279
&SYSTEM
  ibrav = 0, nat = 5, ntyp = 4
/
ATOMIC_SPECIES
K 39.10 K.upf
Ag 107.87 Ag.upf
Bi 208.98 Bi.upf
Sb 121.76 Sb.upf
ATOMIC_POSITIONS angstrom
K 0.000 3.417 0.000
K 3.417 0.000 0.000
Ag 0.000 0.000 2.659
Bi 0.000 0.000 0.000
Sb 3.417 3.417 2.659
CELL_PARAMETERS angstrom
6.833 0.000 0.000
0.000 6.833 0.000
0.000 0.000 5.318

> The lowest density of states at the Fermi level belongs to which entry?

MgAgTe